Computed, not measured: LaNi2Ru after structural relaxation at the PBE-GGA level of DFT.

Values from the calculation:
* calculated formation energy: 186 meV/atom
* E_tot: -6.255 eV/atom
* spin magnetization: 0.000 μB per cell

```
data_LaNi2Ru
_chemical_formula_sum 'La4 Ni8 Ru4'
_cell_length_a 4.4176
_cell_length_b 4.4176
_cell_length_c 16.7561
_cell_angle_alpha 90.00
_cell_angle_beta 90.00
_cell_angle_gamma 90.00
_symmetry_space_group_name_H-M 'I -4 2 d'
_symmetry_Int_Tables_number 122
_symmetry_space_group_name_Hall 'I -4 2bw'
loop_
_atom_site_label
_atom_site_type_symbol
_atom_site_fract_x
_atom_site_fract_y
_atom_site_fract_z
_atom_site_occupancy
La1 La 0.0000 0.0000 0.0000 1
Ni1 Ni 0.0589 0.2500 0.6250 1
Ru1 Ru 0.0000 0.0000 0.5000 1
```